12
Lattice="10.328 0.000 0.000 0.000 3.027 0.000 0.000 0.000 5.280" Properties=species:S:1:pos:R:3 comment="FeF | Alexandria via LeMat-Bulk | PBE with a Hubbard U | optimized geometry" de_polymorph_mev_per_atom=0 spacegroup="No. 31" total_energy_ev_per_atom=-5.09 magnetic_moment_mub_per_cell=22.0 crystal_system=orthorhombic pbc="T T T"
Fe 0.000 0.598 0.000
Fe 1.304 2.131 1.859
Fe 3.861 0.896 4.499
Fe 5.164 2.429 2.640
Fe 6.468 0.896 4.499
Fe 9.025 2.131 1.859
F 0.000 2.177 3.718
F 2.463 0.695 2.762
F 2.701 2.332 0.122
F 5.164 0.850 1.078
F 7.627 2.332 0.122
F 7.865 0.695 2.762